VASP calculation (PBE) on NdSm2ScS6 after structural relaxation.

Values from the calculation:
* V: 25.9 Å³ per atom

Lattice parameters (Å, degrees): 6.9748 6.9747 7.3585 61.70 61.71 60.00
Closest atoms and distances in Å follow each position.
Element x y z (fractional)
Nd1 0.8127 0.8127 0.5619  6 S 2.78-2.90
Sm1 0.5230 0.5230 0.4310  6 S 2.79-2.86
Sm2 0.0179 0.0179 0.9463  6 S 2.76-2.86
Sc1 0.3198 0.3197 0.0408  6 S 2.61-2.64
S1 0.5924 0.2115 0.2500  1 Sc 2.61, 2 Sm 2.79-2.86, 1 Nd 2.90
S2 0.2115 0.9460 0.2500  1 Sc 2.61, 2 Sm 2.79-2.86, 1 Nd 2.90
S3 0.9461 0.5924 0.2501  1 Sc 2.61, 2 Sm 2.79-2.86, 1 Nd 2.89
S4 0.4152 0.6986 0.7616  1 Sc 2.64, 2 Sm 2.76-2.86, 1 Nd 2.78
S5 0.6985 0.1245 0.7617  1 Sc 2.64, 2 Sm 2.76-2.86, 1 Nd 2.78
S6 0.1245 0.4153 0.7617  1 Sc 2.64, 2 Sm 2.76-2.86, 1 Nd 2.78

---

VASP calculation (PBE) on La6Hg2N after structural relaxation.

Values from the calculation:
* V: 30.9 Å³ per atom

Lattice parameters (Å, degrees): 6.8527 7.5157 10.8029 90.00 89.61 90.00
Closest atoms and distances in Å follow each position.
Element x y z (fractional)
La1 0.9022 0.9849 0.2671  1 N 2.61
La2 0.8172 0.7111 0.5389  1 N 2.54
La3 0.8066 0.6834 0.9611  1 N 2.55
La4 0.6934 0.1834 0.5389  1 N 2.55
La5 0.6828 0.2111 0.9611  1 N 2.54
La6 0.5978 0.4849 0.2329  1 N 2.61
La7 0.0978 0.0151 0.7329  1 N 2.61
La8 0.1828 0.2889 0.4611  1 N 2.54
La9 0.1934 0.3166 0.0389  1 N 2.55
La10 0.3066 0.8166 0.4611  1 N 2.55
La11 0.3172 0.7889 0.0389  1 N 2.54
La12 0.4022 0.5151 0.7671  1 N 2.61
Hg1 0.9397 0.4210 0.7438  6 La 3.19-3.32
Hg2 0.5603 0.9210 0.7562  6 La 3.19-3.32
Hg3 0.4397 0.0790 0.2438  6 La 3.19-3.32
Hg4 0.0603 0.5790 0.2562  6 La 3.19-3.32
N1 0.5000 0.5000 0.0000  6 La 2.54-2.61
N2 0.0000 0.0000 0.5000  6 La 2.54-2.61

---

Number 1: size of the total moment 0.00 μB per formula unit, ΔE_f (raw) -1.969 eV/atom. Number 2: size of the total moment 0.00 μB per formula unit, ΔE_f (raw) -0.515 eV/atom.